MnAsCBr2, optimized geometry, DFT GGA-PBE; SG = P4/mmm (123); formation energy (no corrections) = 1718 meV per atom; E = -3.5598 eV/atom
1.0
4.6310 0.0000 0.0000
0.0000 4.6310 0.0000
0.0000 0.0000 4.3648
Mn As C Br
1 1 1 2
direct
0.0000 0.0000 0.0000
0.5000 0.5000 0.0000
0.5000 0.5000 0.5000
0.0000 0.5000 0.5000
0.5000 0.0000 0.5000

MnAs2CBr, optimized geometry, DFT GGA-PBE; SG = P4/mmm (123); formation energy (no corrections) = 1572 meV per atom; E = -4.3012 eV/atom
1.0
4.5893 0.0000 0.0000
0.0000 4.5893 0.0000
0.0000 0.0000 5.1769
Mn As C Br
1 2 1 1
direct
0.0000 0.0000 0.0000
0.0000 0.5000 0.0000
0.5000 0.0000 0.0000
0.5000 0.5000 0.5000
0.0000 0.0000 0.5000

MnAs2CBr, optimized geometry, DFT GGA-PBE; SG = P4/mmm (123); formation energy (no corrections) = 1564 meV per atom; E = -4.3087 eV/atom
1.0
4.2609 0.0000 0.0000
0.0000 4.2609 0.0000
0.0000 0.0000 4.5438
Mn As C Br
1 2 1 1
direct
0.0000 0.0000 0.0000
0.0000 0.5000 0.5000
0.5000 0.0000 0.5000
0.5000 0.5000 0.5000
0.5000 0.5000 0.0000

MoAsCBr2, optimized geometry, DFT GGA-PBE; SG = P4/mmm (123); formation energy (no corrections) = 1590 meV per atom; E = -4.0203 eV/atom
1.0
5.1119 0.0000 0.0000
0.0000 5.1119 0.0000
0.0000 0.0000 4.8902
Mo As C Br
1 1 1 2
direct
0.0000 0.0000 0.0000
0.0000 0.0000 0.5000
0.5000 0.5000 0.5000
0.0000 0.5000 0.0000
0.5000 0.0000 0.0000

MoAsCBr2, optimized geometry, DFT GGA-PBE; SG = P4/mmm (123); formation energy (no corrections) = 1595 meV per atom; E = -4.0153 eV/atom
1.0
4.6446 0.0000 0.0000
0.0000 4.6446 0.0000
0.0000 0.0000 4.4530
Mo As C Br
1 1 1 2
direct
0.0000 0.0000 0.0000
0.5000 0.5000 0.0000
0.5000 0.5000 0.5000
0.0000 0.5000 0.5000
0.5000 0.0000 0.5000

NaAsCBr2, optimized geometry, DFT GGA-PBE; SG = P4/mmm (123); formation energy (no corrections) = 541 meV per atom; E = -3.1664 eV/atom
1.0
5.3541 0.0000 0.0000
0.0000 5.3541 0.0000
0.0000 0.0000 4.0518
Na As C Br
1 1 1 2
direct
0.0000 0.0000 0.0000
0.5000 0.5000 0.0000
0.5000 0.5000 0.5000
0.0000 0.5000 0.5000
0.5000 0.0000 0.5000

NaAsCBr2, optimized geometry, DFT GGA-PBE; SG = P4/mmm (123); formation energy (no corrections) = 1662 meV per atom; E = -2.0461 eV/atom
1.0
5.4121 0.0000 0.0000
0.0000 5.4121 0.0000
0.0000 0.0000 5.7686
Na As C Br
1 1 1 2
direct
0.0000 0.0000 0.0000
0.0000 0.0000 0.5000
0.5000 0.5000 0.5000
0.0000 0.5000 0.0000
0.5000 0.0000 0.0000

Nd4AsCBr2, optimized geometry, DFT GGA-PBE; SG = P2/m (10); formation energy (no corrections) = -1144 meV per atom; E = -5.6807 eV/atom
1.0
7.1574 0.0000 0.0000
0.0000 4.0087 0.0000
-2.3184 0.0000 7.3720
Nd As C Br
4 1 1 2
direct
0.2025 0.0000 0.1894
0.2317 0.5000 0.8035
0.7683 0.5000 0.1965
0.7975 0.0000 0.8106
0.5000 0.0000 0.0000
0.0000 0.5000 0.0000
0.0000 0.0000 0.5000
0.5000 0.5000 0.5000

NiAsCBr2, optimized geometry, DFT GGA-PBE; SG = P4/mmm (123); formation energy (no corrections) = 1484 meV per atom; E = -3.1161 eV/atom
1.0
4.7034 0.0000 0.0000
0.0000 4.7034 0.0000
0.0000 0.0000 4.2516
Ni As C Br
1 1 1 2
direct
0.0000 0.0000 0.0000
0.5000 0.5000 0.0000
0.5000 0.5000 0.5000
0.0000 0.5000 0.5000
0.5000 0.0000 0.5000

NiAsCBr2, optimized geometry, DFT GGA-PBE; SG = P4/mmm (123); formation energy (no corrections) = 1540 meV per atom; E = -3.0604 eV/atom
1.0
4.9845 0.0000 0.0000
0.0000 4.9845 0.0000
0.0000 0.0000 4.4871
Ni As C Br
1 1 1 2
direct
0.0000 0.0000 0.0000
0.0000 0.0000 0.5000
0.5000 0.5000 0.5000
0.0000 0.5000 0.0000
0.5000 0.0000 0.0000

As2OsCBr, optimized geometry, DFT GGA-PBE; SG = P4/mmm (123); formation energy (no corrections) = 1658 meV per atom; E = -4.6273 eV/atom
1.0
4.1978 0.0000 0.0000
0.0000 4.1978 0.0000
0.0000 0.0000 4.4207
As Os C Br
2 1 1 1
direct
0.0000 0.5000 0.0000
0.5000 0.0000 0.0000
0.0000 0.0000 0.5000
0.5000 0.5000 0.0000
0.5000 0.5000 0.5000

As2OsCBr, optimized geometry, DFT GGA-PBE; SG = P4/mmm (123); formation energy (no corrections) = 1827 meV per atom; E = -4.4581 eV/atom
1.0
4.6993 0.0000 0.0000
0.0000 4.6993 0.0000
0.0000 0.0000 5.4024
As Os C Br
2 1 1 1
direct
0.0000 0.5000 0.0000
0.5000 0.0000 0.0000
0.0000 0.0000 0.0000
0.5000 0.5000 0.5000
0.0000 0.0000 0.5000

AsPCBr2, optimized geometry, DFT GGA-PBE; SG = P4/mmm (123); formation energy (no corrections) = 1485 meV per atom; E = -3.0408 eV/atom
1.0
4.5910 0.0000 0.0000
0.0000 4.5910 0.0000
0.0000 0.0000 4.4657
As P C Br
1 1 1 2
direct
0.0000 0.0000 0.0000
0.5000 0.5000 0.0000
0.0000 0.0000 0.5000
0.0000 0.5000 0.5000
0.5000 0.0000 0.5000

AsPCBr2, optimized geometry, DFT GGA-PBE; SG = P4/mmm (123); formation energy (no corrections) = 1744 meV per atom; E = -2.7823 eV/atom
1.0
5.0611 0.0000 0.0000
0.0000 5.0611 0.0000
0.0000 0.0000 4.9793
As P C Br
1 1 1 2
direct
0.0000 0.0000 0.0000
0.0000 0.0000 0.5000
0.5000 0.5000 0.0000
0.0000 0.5000 0.5000
0.5000 0.0000 0.5000

As2PCBr, optimized geometry, DFT GGA-PBE; SG = P4/mmm (123); formation energy (no corrections) = 1933 meV per atom; E = -3.1881 eV/atom
1.0
4.8585 0.0000 0.0000
0.0000 4.8585 0.0000
0.0000 0.0000 4.9306
As P C Br
2 1 1 1
direct
0.0000 0.5000 0.0000
0.5000 0.0000 0.0000
0.0000 0.0000 0.0000
0.5000 0.5000 0.5000
0.0000 0.0000 0.5000

As2PCBr, optimized geometry, DFT GGA-PBE; SG = P4/mmm (123); formation energy (no corrections) = 1395 meV per atom; E = -3.7263 eV/atom
1.0
4.4274 0.0000 0.0000
0.0000 4.4274 0.0000
0.0000 0.0000 4.4790
As P C Br
2 1 1 1
direct
0.0000 0.5000 0.0000
0.5000 0.0000 0.0000
0.0000 0.0000 0.5000
0.5000 0.5000 0.0000
0.5000 0.5000 0.5000

As2PdCBr, optimized geometry, DFT GGA-PBE; SG = P4/mmm (123); formation energy (no corrections) = 1768 meV per atom; E = -3.3098 eV/atom
1.0
4.8468 0.0000 0.0000
0.0000 4.8468 0.0000
0.0000 0.0000 5.2067
As Pd C Br
2 1 1 1
direct
0.0000 0.5000 0.0000
0.5000 0.0000 0.0000
0.0000 0.0000 0.0000
0.5000 0.5000 0.5000
0.0000 0.0000 0.5000

As2PdCBr, optimized geometry, DFT GGA-PBE; SG = P4/mmm (123); formation energy (no corrections) = 1165 meV per atom; E = -3.9131 eV/atom
1.0
4.3020 0.0000 0.0000
0.0000 4.3020 0.0000
0.0000 0.0000 4.8037
As Pd C Br
2 1 1 1
direct
0.0000 0.5000 0.0000
0.5000 0.0000 0.0000
0.0000 0.0000 0.5000
0.5000 0.5000 0.0000
0.5000 0.5000 0.5000

Pm6AsC2Br3, optimized geometry, DFT GGA-PBE; SG = C2/m (12); formation energy (no corrections) = -1064 meV per atom; E = -5.7827 eV/atom
1.0
3.4152 -5.9150 0.0000
3.4152 5.9150 0.0000
-2.2796 0.0000 7.3687
Pm As C Br
6 1 2 3
direct
0.0752 0.4372 0.8119
0.2006 0.2006 0.1876
0.4372 0.0752 0.8119
0.5628 0.9248 0.1881
0.7994 0.7994 0.8124
0.9248 0.5628 0.1881
0.5000 0.5000 0.0000
0.1668 0.8332 0.0000
0.8332 0.1668 0.0000
0.0000 0.0000 0.5000
0.3371 0.6629 0.5000
0.6629 0.3371 0.5000

Pm4AsCBr2, optimized geometry, DFT GGA-PBE; SG = P2/m (10); formation energy (no corrections) = -1153 meV per atom; E = -5.6810 eV/atom
1.0
7.1073 0.0000 0.0000
0.0000 3.9781 0.0000
-2.2992 0.0000 7.2999
Pm As C Br
4 1 1 2
direct
0.2018 0.0000 0.1887
0.2314 0.5000 0.8041
0.7686 0.5000 0.1959
0.7982 0.0000 0.8113
0.5000 0.0000 0.0000
0.0000 0.5000 0.0000
0.0000 0.0000 0.5000
0.5000 0.5000 0.5000